No. 1
{"formula": "Li2MgNpO6", "functional": "PBE", "state": "optimized geometry", "lattice": [[5.242, 0.000, -0.001], [2.621, 4.541, 0.000], [2.620, 1.514, 4.751]], "species": ["Li", "Li", "Mg", "Np", "O", "O", "O", "O", "O", "O"], "fractional_positions": [[0.536, 0.536, 0.392], [0.024, 0.024, 0.927], [0.817, 0.817, 0.548], [0.323, 0.323, 0.032], [0.582, 0.207, 0.264], [0.207, 0.947, 0.264], [0.947, 0.582, 0.264], [0.426, 0.700, 0.775], [0.700, 0.098, 0.776], [0.098, 0.426, 0.775]], "e_form_raw_ev_per_atom": -2.2411}

***

No. 2
{"formula": "CsNiH2Br", "functional": "PBE", "state": "optimized geometry", "lattice": [[-3.975, -1.518, 0.065], [0.141, -0.647, -6.485], [1.516, -3.953, 0.427]], "species": ["Cs", "Ni", "Br", "H", "H"], "fractional_positions": [[0.000, 0.000, 0.000], [0.000, 0.500, 0.000], [0.500, 0.500, 0.500], [0.000, 0.000, 0.500], [0.500, 0.000, 0.000]], "e_tot_ev_per_atom": -1.991}

***

No. 3
{"formula": "NbInNiPd", "functional": "PBE", "state": "optimized geometry", "lattice": [[-0.401, 0.418, -4.477], [-2.814, -2.698, -2.276], [-3.793, 1.681, -1.779]], "species": ["Ni", "Nb", "Pd", "In"], "fractional_positions": [[0.750, 0.750, 0.750], [0.000, 0.000, 0.000], [0.250, 0.250, 0.250], [0.500, 0.500, 0.500]], "delta_e_f_ev_per_atom": -0.211}

***

No. 4
{"formula": "AgHg2", "functional": "PBE", "state": "optimized geometry", "lattice": [[2.558, -4.431, 0.000], [2.558, 4.431, 0.000], [0.000, 0.000, 5.906]], "species": ["Ag", "Ag", "Hg", "Hg", "Hg", "Hg"], "fractional_positions": [[0.333, 0.667, 0.250], [0.667, 0.333, 0.750], [0.000, 0.000, 0.000], [0.000, 0.000, 0.500], [0.333, 0.667, 0.750], [0.667, 0.333, 0.250]], "e_above_lowest_polymorph_ev_per_fu": 0.257, "delta_e_f_ev_per_atom": 0.138}

***

No. 5
{"formula": "In2OsPb", "functional": "PBE", "state": "optimized geometry", "lattice": [[5.186, -0.029, 0.000], [-1.583, 4.939, 0.000], [0.000, 0.000, 3.372]], "species": ["In", "In", "Os", "Pb"], "fractional_positions": [[0.000, 0.000, 0.000], [0.500, 0.500, 0.000], [0.500, 0.000, 0.500], [0.000, 0.500, 0.500]], "delta_e_f_ev_per_atom": 0.742}

***

No. 6
{"formula": "LiLaTl2", "functional": "PBE", "state": "optimized geometry", "lattice": [[3.442, -0.006, 0.000], [-1.324, 3.177, 0.000], [0.000, 0.000, 10.638]], "species": ["La", "Li", "Tl", "Tl"], "fractional_positions": [[0.000, 0.000, 0.499], [0.500, 0.500, 0.777], [0.000, 0.000, 0.988], [0.500, 0.500, 0.236]], "delta_e_f_ev_per_atom": -0.026}

***

Let's list magnetization in order: 0.000 0.181 0.000 0.000 0.000 0.000 μB/atom.